This record from Alexandria via LeMat-Bulk describes Cu2Hg5Pd12 after structural relaxation. The functional is PBE.

```
data_Cu2Hg5Pd12
_space_group_name_H-M_alt 'C 1 2/m 1'
_space_group_IT_number 12
_space_group_name_Hall '-C 2y'
_cell_length_a 13.908
_cell_length_b 5.455
_cell_length_c 9.795
_cell_angle_alpha 90.00
_cell_angle_beta 103.95
_cell_angle_gamma 90.00
loop_
_atom_site_label
_atom_site_fract_x
_atom_site_fract_y
_atom_site_fract_z
_atom_site_occupancy
Cu1 0.000 0.237 0.000 1
Hg1 0.000 0.500 0.500 1
Hg2 0.180 0.000 0.667 1
Hg3 0.183 0.000 0.169 1
Pd1 0.001 0.000 0.245 1
Pd2 0.010 0.500 0.224 1
Pd3 0.158 0.252 0.410 1
Pd4 0.160 0.254 0.908 1
```

**DFT total energy**: -3.74 eV per atom
**Formation energy**: 51 meV per atom